one | First-principles (GGA-PBE) data for Co13Re16 after structural relaxation, as listed in the Open Quantum Materials Database.

POSCAR file:
```
Co13Re16
1.0
-4.580 4.580 4.580
4.580 -4.580 4.580
4.580 4.580 -4.580
Co Re
13 16
direct
0.000 0.682 0.400
0.600 0.282 0.600
0.400 0.682 0.000
0.600 0.600 0.282
0.718 0.318 0.318
0.400 0.000 0.682
0.682 0.000 0.400
0.000 0.000 0.000
0.318 0.318 0.718
0.318 0.718 0.318
0.000 0.400 0.682
0.682 0.400 0.000
0.282 0.600 0.600
0.000 0.000 0.650
0.387 0.000 0.200
0.000 0.387 0.200
0.200 0.000 0.387
0.387 0.200 0.000
0.650 0.000 0.000
0.813 0.613 0.613
0.800 0.187 0.800
0.000 0.200 0.387
0.613 0.813 0.613
0.187 0.800 0.800
0.800 0.800 0.187
0.613 0.613 0.813
0.200 0.387 0.000
0.000 0.650 0.000
0.350 0.350 0.350
```

***

two | First-principles (GGA-PBE) data for Co13Re16 after structural relaxation, as listed in the Open Quantum Materials Database.

POSCAR file:
```
Co13Re16
1.0
-4.549 4.549 4.549
4.549 -4.549 4.549
4.549 4.549 -4.549
Co Re
13 16
direct
0.638 0.823 0.638
0.185 0.362 0.000
0.823 0.638 0.638
0.815 0.815 0.177
0.000 0.185 0.362
0.815 0.177 0.815
0.362 0.000 0.185
0.000 0.000 0.000
0.185 0.000 0.362
0.638 0.638 0.823
0.177 0.815 0.815
0.362 0.185 0.000
0.000 0.362 0.185
0.638 0.000 0.000
0.316 0.316 0.715
0.000 0.684 0.398
0.684 0.398 0.000
0.715 0.316 0.316
0.602 0.285 0.602
0.000 0.398 0.684
0.316 0.715 0.316
0.285 0.602 0.602
0.398 0.000 0.684
0.684 0.000 0.398
0.398 0.684 0.000
0.362 0.362 0.362
0.000 0.000 0.638
0.000 0.638 0.000
0.602 0.602 0.285
```

***

Most favorable structure: two. The second most favorable one is 0.093 eV/atom above it.

***

one | First-principles (GGA-PBE) data for YCoReSb after structural relaxation, as listed in the Open Quantum Materials Database.

POSCAR file:
```
YCoReSb
1.0
-2.291 -1.988 -3.647
-3.704 2.217 -1.967
0.386 1.865 -4.344
Re Co Y Sb
1 1 1 1
direct
0.500 0.500 0.500
0.750 0.750 0.750
0.250 0.250 0.250
0.000 0.000 0.000
```

***

two | First-principles (GGA-PBE) data for YCoReSb after structural relaxation, as listed in the Open Quantum Materials Database.

POSCAR file:
```
YCoReSb
1.0
0.000 3.280 3.280
3.280 0.000 3.280
3.280 3.280 0.000
Y Co Re Sb
1 1 1 1
direct
0.500 0.500 0.500
0.750 0.750 0.750
0.250 0.250 0.250
0.000 0.000 0.000
```

***

Most favorable structure: two. The second most favorable one is 0.399 eV/atom above it.

***

one | First-principles (GGA-PBE) data for YCoReSi after structural relaxation, as listed in the Open Quantum Materials Database.

POSCAR file:
```
YCoReSi
1.0
-2.190 -3.400 1.797
-1.104 0.096 4.285
-4.238 0.475 1.183
Re Y Si Co
1 1 1 1
direct
0.250 0.250 0.250
0.500 0.500 0.500
0.000 0.000 0.000
0.750 0.750 0.750
```

***

two | First-principles (GGA-PBE) data for YCoReSi after structural relaxation, as listed in the Open Quantum Materials Database.

POSCAR file:
```
YCoReSi
1.0
-2.578 -2.084 3.107
-4.527 0.321 -0.219
-2.480 -3.624 -1.166
Y Re Co Si
1 1 1 1
direct
0.250 0.250 0.250
0.500 0.500 0.500
0.750 0.750 0.750
0.000 0.000 0.000
```

***

Most favorable structure: one. The second most favorable one is 0.348 eV/atom above it.

***

one | First-principles (GGA-PBE) data for ZrCoReSi after structural relaxation, as listed in the Open Quantum Materials Database.

POSCAR file:
```
ZrCoReSi
1.0
0.000 3.129 3.129
3.129 0.000 3.129
3.129 3.129 0.000
Si Zr Re Co
1 1 1 1
direct
0.000 0.000 0.000
0.250 0.250 0.250
0.500 0.500 0.500
0.750 0.750 0.750
```

***

two | First-principles (GGA-PBE) data for ZrCoReSi after structural relaxation, as listed in the Open Quantum Materials Database.

POSCAR file:
```
ZrCoReSi
1.0
0.446 -4.122 1.326
-3.103 -1.854 2.426
-2.519 -3.118 -1.699
Co Re Zr Si
1 1 1 1
direct
0.750 0.750 0.750
0.250 0.250 0.250
0.500 0.500 0.500
0.000 0.000 0.000
```

***

Most favorable structure: two. The second most favorable one is 0.433 eV/atom above it.

***

one | First-principles (GGA-PBE) data for YTlCoRe after structural relaxation, as listed in the Open Quantum Materials Database.

POSCAR file:
```
YTlCoRe
1.0
0.000 3.371 3.371
3.371 0.000 3.371
3.371 3.371 0.000
Y Co Re Tl
1 1 1 1
direct
0.250 0.250 0.250
0.750 0.750 0.750
0.500 0.500 0.500
0.000 0.000 0.000
```

***

two | First-principles (GGA-PBE) data for YTlCoRe after structural relaxation, as listed in the Open Quantum Materials Database.

POSCAR file:
```
YTlCoRe
1.0
0.000 3.331 3.331
3.331 0.000 3.331
3.331 3.331 0.000
Y Re Tl Co
1 1 1 1
direct
0.500 0.500 0.500
0.250 0.250 0.250
0.000 0.000 0.000
0.750 0.750 0.750
```

***

Most favorable structure: two. The second most favorable one is 0.024 eV/atom above it.

***

one | First-principles (GGA-PBE) data for ScTlCoS3 after structural relaxation, as listed in the Open Quantum Materials Database.

POSCAR file:
```
ScTlCoS3
1.0
7.112 -1.848 0.000
7.112 1.848 0.000
0.000 0.000 9.853
Tl S Sc Co
2 6 2 2
direct
0.252 0.252 0.750
0.748 0.748 0.250
0.058 0.058 0.250
0.381 0.381 0.062
0.619 0.619 0.938
0.381 0.381 0.438
0.619 0.619 0.562
0.942 0.942 0.750
0.000 0.000 0.000
0.000 0.000 0.500
0.469 0.469 0.250
0.531 0.531 0.750
```

***

two | First-principles (GGA-PBE) data for ScTlCoS3 after structural relaxation, as listed in the Open Quantum Materials Database.

POSCAR file:
```
ScTlCoS3
1.0
7.738 0.000 0.000
0.000 3.691 0.000
-3.391 0.000 9.497
S Co Tl Sc
6 2 2 2
direct
0.145 0.250 0.933
0.770 0.750 0.694
0.193 0.750 0.617
0.807 0.250 0.383
0.230 0.250 0.306
0.855 0.750 0.067
0.012 0.250 0.093
0.988 0.750 0.907
0.516 0.250 0.792
0.484 0.750 0.208
0.028 0.750 0.353
0.972 0.250 0.647
```

***

Most favorable structure: two. The second most favorable one is 0.019 eV/atom above it.

***

one | First-principles (GGA-PBE) data for Co17Sb after structural relaxation, as listed in the Open Quantum Materials Database.

POSCAR file:
```
Co17Sb
1.0
-2.790 3.112 0.957
-3.755 -3.099 -0.867
0.408 -8.801 29.705
Co Sb
34 2
direct
0.167 0.250 0.630
0.333 0.500 0.565
0.833 0.750 0.370
0.331 0.500 0.370
0.997 0.000 0.695
0.167 0.750 0.435
0.502 0.749 0.304
0.669 0.000 0.630
0.502 0.251 0.304
0.835 0.254 0.759
0.666 0.000 0.241
0.003 0.500 0.305
0.665 0.500 0.631
0.000 0.500 0.696
0.000 0.000 0.304
0.667 0.000 0.435
0.167 0.750 0.630
0.334 0.500 0.759
0.833 0.250 0.565
0.833 0.250 0.370
0.500 0.250 0.500
0.001 0.000 0.500
0.335 0.000 0.369
0.165 0.245 0.241
0.334 0.000 0.565
0.498 0.249 0.696
0.165 0.755 0.241
0.835 0.746 0.759
0.500 0.750 0.500
0.498 0.751 0.696
0.167 0.250 0.435
0.666 0.500 0.435
0.833 0.750 0.565
0.999 0.500 0.500
0.664 0.500 0.215
0.336 0.000 0.785
```

***

two | First-principles (GGA-PBE) data for Co17Sb after structural relaxation, as listed in the Open Quantum Materials Database.

POSCAR file:
```
Co17Sb
1.0
-3.594 3.067 1.456
2.864 -2.226 3.361
19.766 23.706 -1.144
Co Sb
34 2
direct
0.499 0.997 0.197
0.667 0.333 0.132
0.833 0.167 0.065
0.000 0.000 0.804
0.333 0.166 0.870
0.167 0.833 0.740
0.667 0.833 0.935
0.833 0.167 0.260
0.667 0.834 0.130
0.667 0.333 0.935
0.333 0.667 0.065
0.834 0.667 0.870
0.333 0.667 0.868
0.499 0.501 0.197
0.334 0.167 0.260
0.003 0.501 0.197
0.501 0.499 0.803
0.167 0.334 0.740
0.166 0.333 0.130
0.167 0.833 0.935
0.833 0.667 0.065
0.166 0.834 0.130
0.000 0.000 0.000
0.167 0.333 0.935
0.000 0.500 0.000
0.500 0.000 0.000
0.833 0.666 0.260
0.666 0.833 0.740
0.834 0.166 0.870
0.333 0.167 0.065
0.000 0.000 0.196
0.500 0.500 0.000
0.501 0.003 0.803
0.997 0.499 0.803
0.333 0.667 0.288
0.667 0.333 0.712
```

***

Most favorable structure: one. The second most favorable one is 0.005 eV/atom above it.

***

one | First-principles (GGA-PBE) data for YCoSbW after structural relaxation, as listed in the Open Quantum Materials Database.

POSCAR file:
```
YCoSbW
1.0
1.476 -4.085 1.737
-2.557 -3.868 -0.623
1.507 -3.361 -2.884
Co Y Sb W
1 1 1 1
direct
0.750 0.750 0.750
0.500 0.500 0.500
0.000 0.000 0.000
0.250 0.250 0.250
```

***

two | First-principles (GGA-PBE) data for YCoSbW after structural relaxation, as listed in the Open Quantum Materials Database.

POSCAR file:
```
YCoSbW
1.0
0.000 3.377 3.377
3.377 0.000 3.377
3.377 3.377 0.000
Sb W Y Co
1 1 1 1
direct
0.000 0.000 0.000
0.500 0.500 0.500
0.250 0.250 0.250
0.750 0.750 0.750
```

***

Most favorable structure: one. The second most favorable one is 0.254 eV/atom above it.